# Nb3IrRu2 | Alexandria via LeMat-Bulk | GGA-PBE | optimized geometry
data_Nb3IrRu2
_chemical_formula_sum 'Nb12 Ir4 Ru8'
_symmetry_space_group_name_H-M 'C m m m'
_symmetry_Int_Tables_number 65
_symmetry_space_group_name_Hall '-C 2 2'
_cell_length_a 4.204
_cell_length_b 12.635
_cell_length_c 7.300
_cell_angle_alpha 90.00
_cell_angle_beta 90.00
_cell_angle_gamma 90.00
loop_
_atom_site_label
_atom_site_type_symbol
_atom_site_fract_x
_atom_site_fract_y
_atom_site_fract_z
_atom_site_occupancy
Nb1 Nb 0.000 0.000 0.246 1
Nb2 Nb 0.000 0.333 0.243 1
Ir1 Ir 0.000 0.168 0.500 1
Ru1 Ru 0.000 0.166 0.000 1
Ru2 Ru 0.000 0.500 0.000 1
Ru3 Ru 0.000 0.500 0.500 1
# total DFT energy (no corrections) = -9.86 eV per atom
# E_form = -0.2606 eV per atom
# density of states at the Fermi level = 32.78 states/eV/cell